Entry 1:
VASP calculation (PBE) on an optimized crystal structure of BCl3O.

abc: 9.516 6.650 13.281
angles: 90.00 132.91 90.00
Fractional positions:
B  0.096  0.160  0.005
B  0.096  0.340  0.505
B  0.904  0.660  0.495
B  0.904  0.840  0.995
Cl  0.041  0.244  0.855
Cl  0.041  0.256  0.355
Cl  0.143  0.634  0.530
Cl  0.143  0.866  0.030
Cl  0.275  0.211  0.662
Cl  0.275  0.289  0.162
Cl  0.725  0.711  0.838
Cl  0.725  0.789  0.338
Cl  0.857  0.134  0.970
Cl  0.857  0.366  0.470
Cl  0.959  0.744  0.645
Cl  0.959  0.756  0.145
O  0.458  0.581  0.977
O  0.458  0.919  0.477
O  0.542  0.081  0.523
O  0.542  0.419  0.023

Properties
calculated volume	615.51	Å³/cell
Fermi-level density of states	0.00	states/eV/f.u.
polymorph energy (0 for the lowest one)	0.00	eV per formula unit
E_tot	-4.13	eV per atom
formation energy (no corrections)	-0.69	eV/atom
space group	P2_1/c, No. 14
calculated density	1.4	g cm⁻³


Entry 2:
VASP calculation (PBE) on an optimized crystal structure of BClO2.

abc: 8.368 8.368 8.368
angles: 19.02 19.02 19.02
Fractional positions:
B  0.000  0.000  0.000
Cl  0.500  0.500  0.500
O  0.051  0.051  0.051
O  0.949  0.949  0.949

Properties
calculated volume	54.37	Å³/cell
Fermi-level density of states	3.43	states/eV/f.u.
polymorph energy (0 for the lowest one)	0.90	eV per formula unit
E_tot	-5.07	eV per atom
formation energy (no corrections)	-0.46	eV/atom
space group	R-3m, No. 166
calculated density	2.4	g cm⁻³


Entry 3:
VASP calculation (PBE) on an optimized crystal structure of BClO2.

abc: 4.830 4.830 4.830
angles: 119.92 119.92 90.13
Fractional positions:
B  0.000  0.000  0.000
B  0.750  0.250  0.500
Cl  0.250  0.750  0.500
Cl  0.500  0.500  0.000
O  0.375  0.124  0.249
O  0.874  0.625  0.749
O  0.875  0.126  0.751
O  0.876  0.125  0.251

Properties
calculated volume	79.75	Å³/cell
Fermi-level density of states	5.51	states/eV/f.u.
polymorph energy (0 for the lowest one)	0.00	eV per formula unit
E_tot	-5.29	eV per atom
formation energy (no corrections)	-0.68	eV/atom
space group	I-42d, No. 122
calculated density	3.3	g cm⁻³